No. 1
This record from the Alexandria database describes a relaxed Tb5Pr2Dy crystal. The functional is GGA-PBE.

Structure (CIF):
```
data_Tb5Pr2Dy
_chemical_formula_sum 'Tb10 Pr4 Dy2'
_space_group_name_H-M_alt 'P 1'
_space_group_IT_number 1
_cell_length_a 5.084
_cell_length_b 7.192
_cell_length_c 14.384
_cell_angle_alpha 90.00
_cell_angle_beta 90.00
_cell_angle_gamma 90.00
loop_
_space_group_symop_operation_xyz
'x,y,z'
loop_
_atom_site_label
_atom_site_fract_x
_atom_site_fract_y
_atom_site_fract_z
Pr1 0.500 0.749 0.875
Pr2 0.500 0.251 0.125
Pr3 0.500 0.751 0.375
Pr4 0.500 0.249 0.625
Tb1 0.000 0.501 0.250
Tb2 0.500 0.751 0.125
Tb3 0.000 0.001 0.250
Tb4 0.000 0.000 0.000
Tb5 0.000 0.500 0.500
Tb6 0.500 0.251 0.375
Tb7 0.000 0.499 0.750
Tb8 0.000 0.999 0.750
Tb9 0.500 0.749 0.625
Tb10 0.500 0.249 0.875
Dy1 0.000 0.000 0.500
Dy2 0.000 0.500 0.000
```

Values from the calculation:
Its formation energy is 1.74 kJ/mol of atoms. Its energy above the lowest structure with this stoichiometry is 0 meV/atom. Its space group is No. 55.

No. 2
This record from the Alexandria database describes a relaxed Tb12Pr5Dy2 crystal. The functional is GGA-PBE.

Structure (CIF):
```
data_Tb12Pr5Dy2
_chemical_formula_sum 'Tb12 Pr5 Dy2'
_space_group_name_H-M_alt 'P 1'
_space_group_IT_number 1
_cell_length_a 9.167
_cell_length_b 10.079
_cell_length_c 8.724
_cell_angle_alpha 67.00
_cell_angle_beta 90.00
_cell_angle_gamma 117.05
loop_
_space_group_symop_operation_xyz
'x,y,z'
loop_
_atom_site_label
_atom_site_fract_x
_atom_site_fract_y
_atom_site_fract_z
Tb1 0.670 0.709 0.908
Tb2 0.046 0.093 0.817
Tb3 0.596 0.749 0.454
Tb4 0.330 0.291 0.092
Tb5 0.961 0.291 0.092
Tb6 0.847 0.251 0.546
Tb7 0.954 0.907 0.183
Tb8 0.563 0.125 0.281
Tb9 0.039 0.709 0.908
Tb10 0.404 0.251 0.546
Tb11 0.153 0.749 0.454
Tb12 0.437 0.875 0.719
Pr1 0.288 0.576 0.223
Pr2 0.238 0.475 0.704
Pr3 0.712 0.424 0.777
Pr4 0.762 0.525 0.296
Pr5 0.000 0.000 0.500
Dy1 0.673 0.000 0.000
Dy2 0.327 0.000 0.000
```

Values from the calculation:
Its formation energy is 20.10 kJ/mol of atoms. Its space group is No. 12.

No. 3
This record from the Alexandria database describes a relaxed Tb4PrDy crystal. The functional is GGA-PBE.

Structure (CIF):
```
data_Tb4PrDy
_chemical_formula_sum 'Tb4 Pr1 Dy1'
_space_group_name_H-M_alt 'P 1'
_space_group_IT_number 1
_cell_length_a 5.060
_cell_length_b 8.015
_cell_length_c 11.340
_cell_angle_alpha 148.09
_cell_angle_beta 89.94
_cell_angle_gamma 108.44
loop_
_space_group_symop_operation_xyz
'x,y,z'
loop_
_atom_site_label
_atom_site_fract_x
_atom_site_fract_y
_atom_site_fract_z
Tb1 0.667 0.335 0.999
Tb2 0.166 0.331 0.500
Tb3 0.333 0.665 0.001
Tb4 0.834 0.669 0.500
Pr1 0.000 0.000 0.000
Dy1 0.500 0.000 0.500
```

Values from the calculation:
Its formation energy is 1.74 kJ/mol of atoms. Its energy above the lowest structure with this stoichiometry is 0 meV/atom. Its space group is No. 2.

No. 4
This record from the Alexandria database describes a relaxed Tb9Pr11Dy4 crystal. The functional is GGA-PBE.

Structure (CIF):
```
data_Tb9Pr11Dy4
_chemical_formula_sum 'Tb9 Pr11 Dy4'
_space_group_name_H-M_alt 'P 1'
_space_group_IT_number 1
_cell_length_a 3.687
_cell_length_b 15.556
_cell_length_c 15.556
_cell_angle_alpha 113.11
_cell_angle_beta 90.00
_cell_angle_gamma 90.00
loop_
_space_group_symop_operation_xyz
'x,y,z'
loop_
_atom_site_label
_atom_site_fract_x
_atom_site_fract_y
_atom_site_fract_z
Tb1 0.500 0.068 0.213
Tb2 0.500 0.166 0.631
Tb3 0.500 0.500 0.500
Tb4 0.500 0.369 0.834
Tb5 0.500 0.787 0.932
Tb6 0.500 0.631 0.166
Tb7 0.500 0.834 0.369
Tb8 0.500 0.932 0.787
Tb9 0.500 0.213 0.068
Pr1 0.000 0.840 0.160
Pr2 0.000 0.369 0.631
Pr3 0.000 0.043 0.405
Pr4 0.000 0.631 0.369
Pr5 0.000 0.292 0.292
Pr6 0.000 0.957 0.595
Pr7 0.000 0.595 0.957
Pr8 0.000 0.160 0.840
Pr9 0.000 0.708 0.708
Pr10 0.000 0.405 0.043
Pr11 0.000 0.000 0.000
Dy1 0.500 0.759 0.555
Dy2 0.500 0.555 0.759
Dy3 0.500 0.241 0.445
Dy4 0.500 0.445 0.241
```

Values from the calculation:
Its formation energy is 5.48 kJ/mol of atoms. Its space group is No. 65.

No. 5
This record from the Alexandria database describes a relaxed Tb3Pr2Dy4 crystal. The functional is GGA-PBE.

Structure (CIF):
```
data_Tb3Pr2Dy4
_chemical_formula_sum 'Tb6 Pr4 Dy8'
_space_group_name_H-M_alt 'P 1'
_space_group_IT_number 1
_cell_length_a 6.040
_cell_length_b 11.327
_cell_length_c 11.327
_cell_angle_alpha 62.05
_cell_angle_beta 63.66
_cell_angle_gamma 63.66
loop_
_space_group_symop_operation_xyz
'x,y,z'
loop_
_atom_site_label
_atom_site_fract_x
_atom_site_fract_y
_atom_site_fract_z
Dy1 0.421 0.955 0.169
Dy2 0.405 0.624 0.842
Dy3 0.079 0.831 0.045
Dy4 0.579 0.045 0.831
Dy5 0.921 0.169 0.955
Dy6 0.095 0.158 0.376
Dy7 0.905 0.842 0.624
Dy8 0.595 0.376 0.158
Pr1 0.068 0.490 0.722
Pr2 0.432 0.278 0.510
Pr3 0.932 0.510 0.278
Pr4 0.568 0.722 0.490
Tb1 0.750 0.350 0.650
Tb2 0.240 0.987 0.685
Tb3 0.260 0.315 0.013
Tb4 0.740 0.685 0.987
Tb5 0.250 0.650 0.350
Tb6 0.760 0.013 0.315
```

Values from the calculation:
Its formation energy is 9.03 kJ/mol of atoms. Its space group is No. 15.

No. 6
This record from the Alexandria database describes a relaxed Tb3Pr5Dy crystal. The functional is GGA-PBE.

Structure (CIF):
```
data_Tb3Pr5Dy
_chemical_formula_sum 'Tb6 Pr10 Dy2'
_space_group_name_H-M_alt 'P 1'
_space_group_IT_number 1
_cell_length_a 6.340
_cell_length_b 11.064
_cell_length_c 11.797
_cell_angle_alpha 124.49
_cell_angle_beta 90.00
_cell_angle_gamma 106.65
loop_
_space_group_symop_operation_xyz
'x,y,z'
loop_
_atom_site_label
_atom_site_fract_x
_atom_site_fract_y
_atom_site_fract_z
Tb1 0.400 0.351 0.326
Tb2 0.951 0.351 0.826
Tb3 0.000 0.000 0.000
Tb4 0.049 0.649 0.174
Tb5 0.000 0.000 0.500
Tb6 0.600 0.649 0.674
Pr1 0.535 0.722 0.381
Pr2 0.999 0.359 0.527
Pr3 0.589 0.000 0.250
Pr4 0.001 0.641 0.473
Pr5 0.465 0.278 0.619
Pr6 0.813 0.278 0.119
Pr7 0.640 0.641 0.973
Pr8 0.360 0.359 0.027
Pr9 0.187 0.722 0.881
Pr10 0.411 0.000 0.750
Dy1 0.899 0.000 0.750
Dy2 0.101 0.000 0.250
```

Values from the calculation:
Its formation energy is 25.41 kJ/mol of atoms. Its energy above the lowest structure with this stoichiometry is 0 meV/atom. Its space group is No. 15.

No. 7
This record from the Alexandria database describes a relaxed Tb7PrDy5 crystal. The functional is GGA-PBE.

Structure (CIF):
```
data_Tb7PrDy5
_chemical_formula_sum 'Tb7 Pr1 Dy5'
_space_group_name_H-M_alt 'P 1'
_space_group_IT_number 1
_cell_length_a 6.676
_cell_length_b 8.720
_cell_length_c 8.720
_cell_angle_alpha 79.74
_cell_angle_beta 67.49
_cell_angle_gamma 67.49
loop_
_space_group_symop_operation_xyz
'x,y,z'
loop_
_atom_site_label
_atom_site_fract_x
_atom_site_fract_y
_atom_site_fract_z
Tb1 0.576 0.424 0.424
Tb2 0.271 0.729 0.729
Tb3 0.266 0.234 0.234
Tb4 0.018 0.312 0.652
Tb5 0.520 0.150 0.810
Tb6 0.520 0.810 0.150
Tb7 0.018 0.652 0.312
Dy1 0.533 0.001 0.462
Dy2 0.771 0.729 0.729
Dy3 0.003 0.001 0.462
Dy4 0.533 0.462 0.001
Dy5 0.003 0.462 0.001
Pr1 0.968 0.032 0.032
```

Values from the calculation:
Its formation energy is 23.50 kJ/mol of atoms. Its space group is No. 44.

No. 8
This record from the Alexandria database describes a relaxed Tb2PrDy crystal. The functional is GGA-PBE.

Structure (CIF):
```
data_Tb2PrDy
_chemical_formula_sum 'Tb2 Pr1 Dy1'
_space_group_name_H-M_alt 'P 1'
_space_group_IT_number 1
_cell_length_a 3.594
_cell_length_b 3.594
_cell_length_c 11.905
_cell_angle_alpha 81.32
_cell_angle_beta 81.32
_cell_angle_gamma 60.00
loop_
_space_group_symop_operation_xyz
'x,y,z'
loop_
_atom_site_label
_atom_site_fract_x
_atom_site_fract_y
_atom_site_fract_z
Pr1 0.000 0.000 0.000
Tb1 0.248 0.248 0.255
Tb2 0.752 0.752 0.745
Dy1 0.500 0.500 0.500
```

Values from the calculation:
Its formation energy is 1.74 kJ/mol of atoms. Its energy above the lowest structure with this stoichiometry is 0 meV/atom. Its space group is No. 166.

No. 9
This record from the Alexandria database describes a relaxed Tb6PrDy5 crystal. The functional is GGA-PBE.

Structure (CIF):
```
data_Tb6PrDy5
_chemical_formula_sum 'Tb6 Pr1 Dy5'
_space_group_name_H-M_alt 'P 1'
_space_group_IT_number 1
_cell_length_a 6.173
_cell_length_b 6.171
_cell_length_c 11.824
_cell_angle_alpha 85.02
_cell_angle_beta 80.01
_cell_angle_gamma 59.99
loop_
_space_group_symop_operation_xyz
'x,y,z'
loop_
_atom_site_label
_atom_site_fract_x
_atom_site_fract_y
_atom_site_fract_z
Dy1 0.667 0.667 0.000
Dy2 0.333 0.333 0.000
Dy3 0.167 0.666 0.500
Dy4 0.833 0.334 0.500
Dy5 0.500 0.000 0.500
Tb1 0.917 0.666 0.252
Tb2 0.749 0.000 0.748
Tb3 0.418 0.666 0.748
Tb4 0.083 0.334 0.748
Tb5 0.251 0.000 0.252
Tb6 0.582 0.334 0.252
Pr1 0.000 0.000 0.000
```

Values from the calculation:
Its formation energy is 1.46 kJ/mol of atoms. Its space group is No. 12.